# Si2HgAs2

Si2HgAs2 after structural relaxation (PBE, Alexandria via LeMat-Bulk).

It has space group I4/mmm (No. 139), with a = 4.7978 Å, b = 4.7978 Å, c = 8.6352 Å, α = 90.00°, β = 90.00° and γ = 90.00°. The asymmetric unit holds Si at (0.0000, 0.0000, 0.1419), Hg at (0.0000, 0.0000, 0.5000) and As at (0.0000, 0.5000, 0.2500).

As for the uncorrected energy: -3.892 eV/atom. The value obtained for the raw formation energy is 197 meV per atom. As for the crystal system: tetragonal.



# Li2Nd2DyIn5

Li2Nd2DyIn5 after structural relaxation (PBE, Alexandria via LeMat-Bulk).

It has space group P4/mbm (No. 127), with a = 10.3567 Å, b = 10.3567 Å, c = 4.5340 Å, α = 90.00°, β = 90.00° and γ = 90.00°. The asymmetric unit holds Li at (0.1165, 0.3835, 0.0000), Nd at (0.1779, 0.6779, 0.0000), Dy at (0.0000, 0.0000, 0.0000), In at (0.0000, 0.5000, 0.5000) and In at (0.0680, 0.2114, 0.5000).

As for the uncorrected energy: -3.588 eV/atom. The formation energy is -422 meV per atom. As for the crystal system: tetragonal.



# Rb2CaW

Rb2CaW after structural relaxation (PBE, Alexandria via LeMat-Bulk).

It has space group I-42d (No. 122), with a = 5.0032 Å, b = 5.0032 Å, c = 27.7658 Å, α = 90.00°, β = 90.00° and γ = 90.00°. The asymmetric unit holds Rb at (0.2350, 0.2500, 0.1250), Ca at (0.0000, 0.0000, 0.5000) and W at (0.0000, 0.0000, 0.0000).

As for the uncorrected energy: -2.606 eV/atom. The formation energy is 1617 meV per atom. As for the crystal system: tetragonal.



# BaSrCuPt

BaSrCuPt after structural relaxation (PBE, Alexandria via LeMat-Bulk).

It has space group F-43m (No. 216), with a = 7.6290 Å, b = 7.6290 Å, c = 7.6290 Å, α = 90.00°, β = 90.00° and γ = 90.00°. The asymmetric unit holds Ba at (0.0000, 0.0000, 0.0000), Sr at (0.0000, 0.0000, 0.5000), Cu at (0.2500, 0.2500, 0.7500) and Pt at (0.2500, 0.2500, 0.2500).

As for the uncorrected energy: -3.786 eV/atom. The formation energy is -351 meV per atom. As for the crystal system: cubic.



# MoAsOs2

MoAsOs2 after structural relaxation (PBE, Alexandria via LeMat-Bulk).

It has space group P4mm (No. 99), with a = 2.9398 Å, b = 2.9398 Å, c = 6.8238 Å, α = 90.00°, β = 90.00° and γ = 90.00°. The asymmetric unit holds Mo at (0.0000, 0.0000, 0.0000), As at (0.5000, 0.5000, 0.7495), Os at (0.0000, 0.0000, 0.5288) and Os at (0.5000, 0.5000, 0.2541).

As for the uncorrected energy: -9.289 eV/atom. The formation energy is 196 meV per atom. As for the crystal system: tetragonal.



# KCeAs

KCeAs after structural relaxation (PBE, Alexandria via LeMat-Bulk).

It has space group I4mm (No. 107), with a = 3.9400 Å, b = 3.9400 Å, c = 14.7170 Å, α = 90.00°, β = 90.00° and γ = 90.00°. The asymmetric unit holds K at (0.0000, 0.0000, 0.0000), Ce at (0.0000, 0.0000, 0.2436) and As at (0.0000, 0.0000, 0.6821).

As for the uncorrected energy: -4.422 eV/atom. The formation energy is -528 meV per atom. As for the crystal system: tetragonal.



# La2SmC2I2

La2SmC2I2 after structural relaxation (PBE, Alexandria via LeMat-Bulk).

It has space group I4/mmm (No. 139), with a = 4.6532 Å, b = 4.6532 Å, c = 18.5099 Å, α = 90.00°, β = 90.00° and γ = 90.00°. The asymmetric unit holds La at (0.0000, 0.0000, 0.0860), Sm at (0.0000, 0.0000, 0.5000), C at (0.0000, 0.5000, 0.0000) and I at (0.0000, 0.0000, 0.3244).

As for the uncorrected energy: -5.676 eV/atom. The value obtained for the raw formation energy is -516 meV per atom. As for the crystal system: tetragonal.



# Tb4BiSbTe2

Tb4BiSbTe2 after structural relaxation (PBE, Alexandria via LeMat-Bulk).

It has space group P2/m (No. 10), with a = 7.6218 Å, b = 4.4193 Å, c = 7.6665 Å, α = 90.00°, β = 109.60° and γ = 90.00°. The asymmetric unit holds Tb at (0.2417, 0.0000, 0.2422), Tb at (0.2455, 0.5000, 0.7539), Bi at (0.0000, 0.0000, 0.5000), Sb at (0.0000, 0.5000, 0.0000), Te at (0.5000, 0.0000, 0.0000) and Te at (0.5000, 0.5000, 0.5000).

As for the uncorrected energy: -5.294 eV/atom. The value obtained for the raw formation energy is -1193 meV per atom. As for the crystal system: monoclinic.



# MgAg2

MgAg2 after structural relaxation (PBE, Alexandria via LeMat-Bulk).

It has space group Fd-3m (No. 227, origin choice 2), with a = 7.8219 Å, b = 7.8219 Å, c = 7.8219 Å, α = 90.00°, β = 90.00° and γ = 90.00°. The asymmetric unit holds Mg at (0.1250, 0.1250, 0.1250) and Ag at (0.0000, 0.0000, 0.5000).

As for the uncorrected energy: -2.499 eV/atom. The formation energy is -66 meV per atom. As for the crystal system: cubic.



# Sm8TeAs6

Sm8TeAs6 after structural relaxation (PBE, Alexandria via LeMat-Bulk).

It has space group P-3 (No. 147), with a = 10.7735 Å, b = 10.7735 Å, c = 4.3662 Å, α = 90.00°, β = 90.00° and γ = 120.00°. The asymmetric unit holds Sm at (0.0336, 0.3444, 0.2591), Sm at (0.3333, 0.6667, 0.7468), Te at (0.0000, 0.0000, 0.5000) and As at (0.1354, 0.6579, 0.2427).

As for the uncorrected energy: -5.782 eV/atom. The value obtained for the raw formation energy is -1196 meV per atom. As for the crystal system: trigonal.